(1)
Density functional theory data (PBE-GGA) for a relaxed structure of PbBrN2.

Structure (CIF):
```
data_PbBrN2
_chemical_formula_sum 'Pb3 Br3 N6'
_cell_length_a 3.3003
_cell_length_b 3.3003
_cell_length_c 21.7363
_cell_angle_alpha 90.00
_cell_angle_beta 90.00
_cell_angle_gamma 120.00
_symmetry_space_group_name_H-M 'R -3 m'
_symmetry_Int_Tables_number 166
_symmetry_space_group_name_Hall '-R 3 2"'
loop_
_atom_site_label
_atom_site_type_symbol
_atom_site_fract_x
_atom_site_fract_y
_atom_site_fract_z
Pb1 Pb 0.0000 0.0000 0.0000
Br1 Br 0.0000 0.0000 0.5000
N1 N 0.0000 0.0000 0.1139
```

## Properties
For the energy relative to the elements, uncorrected, the calculation gives 1831 meV per atom. For the distance to the lowest polymorph of the same formula, the calculation gives 1925.0 meV/atom.

---

(2)
Density functional theory data (PBE-GGA) for a relaxed structure of Pm12Ho6In.

Structure (CIF):
```
data_Pm12Ho6In
_chemical_formula_sum 'Pm36 Ho18 In3'
_cell_length_a 13.0976
_cell_length_b 13.0976
_cell_length_c 12.8550
_cell_angle_alpha 90.00
_cell_angle_beta 90.00
_cell_angle_gamma 120.00
_symmetry_space_group_name_H-M 'R -3 m'
_symmetry_Int_Tables_number 166
_symmetry_space_group_name_Hall '-R 3 2"'
loop_
_atom_site_label
_atom_site_type_symbol
_atom_site_fract_x
_atom_site_fract_y
_atom_site_fract_z
Pm1 Pm 0.0000 0.2596 0.0000
Pm2 Pm 0.0619 0.5310 0.1098
Ho1 Ho 0.0898 0.1795 0.7745
In1 In 0.0000 0.0000 0.0000
```

## Properties
The energy relative to the elements is 84.7 meV per atom. For the distance to the lowest polymorph of the same formula, the calculation gives 20.2 meV/atom.

---

(3)
Density functional theory data (PBE-GGA) for a relaxed structure of TbMoOs.

Structure (CIF):
```
data_TbMoOs
_chemical_formula_sum 'Tb4 Mo4 Os4'
_cell_length_a 5.346
_cell_length_b 5.730
_cell_length_c 7.452
_cell_angle_alpha 90.00
_cell_angle_beta 90.00
_cell_angle_gamma 90.00
_symmetry_space_group_name_H-M 'I m m a'
_symmetry_Int_Tables_number 74
_symmetry_space_group_name_Hall '-I 2b 2'
loop_
_atom_site_label
_atom_site_type_symbol
_atom_site_fract_x
_atom_site_fract_y
_atom_site_fract_z
Tb1 Tb 0.000 0.250 0.130
Mo1 Mo 0.250 0.250 0.750
Os1 Os 0.000 0.000 0.500
```

## Properties
The energy relative to the elements is -156.4 meV per atom. For the distance to the lowest polymorph of the same formula, the calculation gives 0.0 meV/atom.

---

(4)
Density functional theory data (PBE-GGA) for a relaxed structure of Y2MgCl.

Structure (CIF):
```
data_Y2MgCl
_chemical_formula_sum 'Y4 Mg2 Cl2'
_cell_length_a 3.495
_cell_length_b 6.186
_cell_length_c 10.440
_cell_angle_alpha 90.00
_cell_angle_beta 90.00
_cell_angle_gamma 90.00
_symmetry_space_group_name_H-M 'I m m m'
_symmetry_Int_Tables_number 71
_symmetry_space_group_name_Hall '-I 2 2'
loop_
_atom_site_label
_atom_site_type_symbol
_atom_site_fract_x
_atom_site_fract_y
_atom_site_fract_z
Y1 Y 0.000 0.000 0.210
Mg1 Mg 0.000 0.500 0.000
Cl1 Cl 0.000 0.500 0.500
```

## Properties
For the energy relative to the elements, uncorrected, the calculation gives -473 meV per atom. For the distance to the lowest polymorph of the same formula, the calculation gives 174.3 meV/atom.

---

(5)
Density functional theory data (PBE-GGA) for a relaxed structure of Pm2TmAlO.

Structure (CIF):
```
data_Pm2TmAlO
_chemical_formula_sum 'Pm2 Tm1 Al1 O1'
_cell_length_a 4.926
_cell_length_b 4.926
_cell_length_c 4.599
_cell_angle_alpha 90.00
_cell_angle_beta 90.00
_cell_angle_gamma 90.00
_symmetry_space_group_name_H-M 'P 4/m m m'
_symmetry_Int_Tables_number 123
_symmetry_space_group_name_Hall '-P 4 2'
loop_
_atom_site_label
_atom_site_type_symbol
_atom_site_fract_x
_atom_site_fract_y
_atom_site_fract_z
Pm1 Pm 0.000 0.500 0.000
Tm1 Tm 0.000 0.000 0.500
Al1 Al 0.500 0.500 0.500
O1 O 0.000 0.000 0.000
```

## Properties
For the energy relative to the elements, uncorrected, the calculation gives -1344 meV per atom.

---

(6)
Density functional theory data (PBE-GGA) for a relaxed structure of TbSm2Tl2.

Structure (CIF):
```
data_TbSm2Tl2
_chemical_formula_sum 'Tb2 Sm4 Tl4'
_cell_length_a 9.234
_cell_length_b 9.234
_cell_length_c 3.545
_cell_angle_alpha 90.00
_cell_angle_beta 90.00
_cell_angle_gamma 90.00
_symmetry_space_group_name_H-M 'P 4/m b m'
_symmetry_Int_Tables_number 127
_symmetry_space_group_name_Hall '-P 4 2ab'
loop_
_atom_site_label
_atom_site_type_symbol
_atom_site_fract_x
_atom_site_fract_y
_atom_site_fract_z
Tb1 Tb 0.000 0.000 0.000
Sm1 Sm 0.123 0.377 0.000
Tl1 Tl 0.176 0.676 0.500
```

## Properties
The energy relative to the elements is -120.9 meV per atom. For the distance to the lowest polymorph of the same formula, the calculation gives 170.7 meV/atom.

---

(7)
Density functional theory data (PBE-GGA) for a relaxed structure of InTeOsI2.

Structure (CIF):
```
data_InTeOsI2
_chemical_formula_sum 'In1 Te1 Os1 I2'
_cell_length_a 5.748
_cell_length_b 5.748
_cell_length_c 4.998
_cell_angle_alpha 90.00
_cell_angle_beta 90.00
_cell_angle_gamma 90.00
_symmetry_space_group_name_H-M 'P 4/m m m'
_symmetry_Int_Tables_number 123
_symmetry_space_group_name_Hall '-P 4 2'
loop_
_atom_site_label
_atom_site_type_symbol
_atom_site_fract_x
_atom_site_fract_y
_atom_site_fract_z
In1 In 0.000 0.000 0.000
Te1 Te 0.500 0.500 0.000
Os1 Os 0.500 0.500 0.500
I1 I 0.000 0.500 0.500
```

## Properties
For the energy relative to the elements, uncorrected, the calculation gives 389 meV per atom. For the distance to the lowest polymorph of the same formula, the calculation gives 0.0 meV/atom.

---

(8)
Density functional theory data (PBE-GGA) for a relaxed structure of PmTmFe10.

Structure (CIF):
```
data_PmTmFe10
_chemical_formula_sum 'Pm1 Tm1 Fe10'
_cell_length_a 3.948
_cell_length_b 5.020
_cell_length_c 8.665
_cell_angle_alpha 90.00
_cell_angle_beta 90.00
_cell_angle_gamma 90.00
_symmetry_space_group_name_H-M 'P m m m'
_symmetry_Int_Tables_number 47
loop_
_symmetry_equiv_pos_as_xyz
'x,y,z'
'-x,-y,-z'
'-x,-y,z'
'x,y,-z'
'x,-y,-z'
'-x,y,z'
'-x,y,-z'
'x,-y,z'
loop_
_atom_site_label
_atom_site_type_symbol
_atom_site_fract_x
_atom_site_fract_y
_atom_site_fract_z
Pm1 Pm 0.000 0.000 0.000
Tm1 Tm 0.000 0.500 0.500
Fe1 Fe 0.000 0.000 0.338
Fe2 Fe 0.000 0.500 0.171
Fe3 Fe 0.500 0.000 0.500
Fe4 Fe 0.500 0.252 0.255
Fe5 Fe 0.500 0.500 0.000
```

## Properties
The energy relative to the elements is -25.1 meV per atom.